Entry from the Alexandria database: Re3Mo4 after structural relaxation (PBE).

Unit cell a=11.244 b=11.244 c=11.244 alpha=163.96 beta=163.96 gamma=22.76
Sites, in units of the cell vectors:
Mo 0.857 0.857 0.000
Mo 0.428 0.428 0.000
Mo 0.143 0.143 0.000
Mo 0.572 0.572 0.000
Re 0.713 0.713 0.000
Re 0.287 0.287 0.000
Re 0.000 0.000 0.000

- density (g/cm3) = 14.4
- spin magnetization (μB/f.u.) = 0.00
- total DFT energy (no corrections) (eV/atom) = -11.431
- space-group type = I4/mmm, No. 139
- N(E_F) (states/eV per cell) = 5.63